Record 1
The following is a DFT calculation (PBE) of a relaxed Ti8GaSi2 crystal.

abc: 14.0793 4.0976 6.7477
angles: 90.00 114.86 90.00
Space group C2/m (No. 12)
Symmetry-distinct sites (fractional):
Ti 0.0355 0.0000 0.2557 (multiplicity 4)
Ti 0.0954 0.5000 0.9509 (multiplicity 4)
Ti 0.1647 0.0000 0.7377 (multiplicity 4)
Ti 0.1767 0.5000 0.4115 (multiplicity 4)
Ga 0.0000 0.5000 0.5000 (multiplicity 2)
Si 0.2027 0.0000 0.1653 (multiplicity 4)

Energy relative to the elements, uncorrected in eV per atom: -0.401
E_tot in hartree per atom: -0.2721

Record 2
The following is a DFT calculation (PBE) of a relaxed TiGaSi crystal.

abc: 4.9577 8.8215 8.4739
angles: 90.00 90.00 90.00
Space group Fdd2 (No. 43)
Symmetry-distinct sites (fractional):
Ti 0.0000 0.0000 0.0000 (multiplicity 8)
Ga 0.0000 0.0000 0.3363 (multiplicity 8)
Si 0.0000 0.0000 0.6742 (multiplicity 8)

ΔE to the lowest computed polymorph in meV/atom: 145
Energy relative to the elements, uncorrected in eV per atom: -0.354
E_tot in hartree per atom: -0.2132

Record 3
The following is a DFT calculation (PBE) of a relaxed Ti7Ga2Si2 crystal.

abc: 7.1208 9.1859 6.0071
angles: 90.00 90.00 90.00
Space group Cmmm (No. 65)
Symmetry-distinct sites (fractional):
Ti 0.0000 0.0000 0.0000 (multiplicity 2)
Ti 0.0000 0.5000 0.2658 (multiplicity 4)
Ti 0.2500 0.2500 0.2745 (multiplicity 8)
Ga 0.1746 0.0000 0.5000 (multiplicity 4)
Si 0.0000 0.2834 0.0000 (multiplicity 4)

Energy relative to the elements, uncorrected in eV per atom: -0.139
E_tot in hartree per atom: -0.2462

Record 4
The following is a DFT calculation (PBE) of a relaxed Ti3GaSi crystal.

abc: 4.5922 4.5922 4.5922
angles: 90.00 90.00 90.00
Space group Pm-3m (No. 221)
Symmetry-distinct sites (fractional):
Ti 0.0000 0.0000 0.5000 (multiplicity 3)
Ga 0.5000 0.5000 0.5000 (multiplicity 1)
Si 0.0000 0.0000 0.0000 (multiplicity 1)

ΔE to the lowest computed polymorph in meV/atom: 94
Energy relative to the elements, uncorrected in eV per atom: 0.127
E_tot in hartree per atom: -0.2315

Record 5
The following is a DFT calculation (PBE) of a relaxed Ti5Ga2Si crystal.

abc: 6.7582 6.7582 11.2877
angles: 90.00 90.00 90.00
Space group I4/mcm (No. 140)
Symmetry-distinct sites (fractional):
Ti 0.0000 0.0000 0.0000 (multiplicity 4)
Ti 0.1600 0.3400 0.1583 (multiplicity 16)
Ga 0.1364 0.3636 0.5000 (multiplicity 8)
Si 0.0000 0.0000 0.2500 (multiplicity 4)

Energy relative to the elements, uncorrected in eV per atom: -0.458
E_tot in hartree per atom: -0.2509

Record 6
The following is a DFT calculation (PBE) of a relaxed TiGa2Si2 crystal.

abc: 6.6911 6.6911 3.6149
angles: 90.00 90.00 90.00
Space group P4/mbm (No. 127)
Symmetry-distinct sites (fractional):
Ti 0.0000 0.0000 0.0000 (multiplicity 2)
Ga 0.1732 0.3268 0.5000 (multiplicity 4)
Si 0.1302 0.6302 0.0000 (multiplicity 4)

Energy relative to the elements, uncorrected in eV per atom: -0.033
E_tot in hartree per atom: -0.1835

Look up the E_tot of the fourth one.
-0.2315 hartree per atom

Look up the E_tot of the second one.
-0.2132 hartree per atom

What is the formula in the fourth record?
Ti3GaSi

What did the fourth record say?
The following is a DFT calculation (PBE) of a relaxed Ti3GaSi crystal.

abc: 4.5922 4.5922 4.5922
angles: 90.00 90.00 90.00
Space group Pm-3m (No. 221)
Symmetry-distinct sites (fractional):
Ti 0.0000 0.0000 0.5000 (multiplicity 3)
Ga 0.5000 0.5000 0.5000 (multiplicity 1)
Si 0.0000 0.0000 0.0000 (multiplicity 1)

ΔE to the lowest computed polymorph in meV/atom: 94
Energy relative to the elements, uncorrected in eV per atom: 0.127
E_tot in hartree per atom: -0.2315